Computed, not measured: Co2NiIr at its PBEsol-relaxed geometry at the SCAN level of DFT.

Results
For the magnetic moment, the calculation gives 4.85 μB/cell. Its formation energy from the elements is 0.281 eV per formula unit. Its space group is Amm2. For the final energy, the calculation gives -30.400 eV per atom. The density comes out at 13.3 g/cm³.

Unit cell a=2.538 b=3.914 c=4.813 alpha=90.00 beta=105.29 gamma=90.00
Last column: magnetic moment on the atom in μB.
Fractional coordinates of all 4 atoms:
Ni  0.796  0.500  0.593  0.84
Co  0.059  0.500  0.118  1.91
Co  0.191  0.000  0.382  1.86
Ir  0.451  0.000  0.902  0.40